#one
Density functional theory data (PBE) for a relaxed La2DyY crystal.

Unit cell a=7.4042 b=10.0147 c=3.7163 alpha=90.00 beta=90.00 gamma=90.00
Closest atoms and distances in Å follow each position.
Space group Cmmm (No. 65)
One atom of each set of equivalent atoms:
La1 0.2500 0.2500 0.0000 (multiplicity 4)  4 Dy 3.63, 4 Y 3.63, 4 La 3.70-3.72
Dy1 0.0000 0.0000 0.5000 (multiplicity 2)  8 La 3.63, 2 Y 3.70, 2 Dy 3.72
Y1 0.0000 0.5000 0.5000 (multiplicity 2)  8 La 3.63, 2 Dy 3.70, 2 Y 3.72

Computed properties:
Total moment   0.000 μB per atom

=====

#two
Density functional theory data (PBE) for a relaxed La2DyY crystal.

Unit cell a=3.6656 b=3.6656 c=35.2319 alpha=90.00 beta=90.00 gamma=120.00
Closest atoms and distances in Å follow each position.
Space group R-3m (No. 166, hexagonal axes)
One atom of each set of equivalent atoms:
La1 0.0000 0.0000 0.2504 (multiplicity 6)  3 Dy 3.61, 3 Y 3.63, 6 La 3.67
Dy1 0.0000 0.0000 0.0000 (multiplicity 3)  6 La 3.61, 6 Dy 3.67
Y1 0.0000 0.0000 0.5000 (multiplicity 3)  6 La 3.63, 6 Y 3.67

Computed properties:
Total moment   0.000 μB per atom

=====

Most stable: #two (next structure +15 meV per atom)

=====

#one
Density functional theory data (PBE) for a relaxed LaDy6Y4 crystal.

Unit cell a=7.6678 b=7.6678 c=13.1404 alpha=90.00 beta=90.00 gamma=90.00
Closest atoms and distances in Å follow each position.
Space group I-42m (No. 121)
One atom of each set of equivalent atoms:
La1 0.0000 0.0000 0.0000 (multiplicity 2)  8 Dy 3.59-3.83, 4 Y 3.77
Dy1 0.0000 0.5000 0.0000 (multiplicity 4)  4 Y 3.04
Dy2 0.2436 0.2436 0.1851 (multiplicity 8)  4 Y 3.23-3.60, 1 La 3.59
Y1 0.1656 0.1656 0.4220 (multiplicity 8)  3 Dy 3.04-3.23, 2 Y 3.26

Computed properties:
Total moment   0.000 μB per atom

=====

#two
Density functional theory data (PBE) for a relaxed LaDy6Y4 crystal.

Unit cell a=5.7401 b=9.7128 c=25.7890 alpha=90.00 beta=90.00 gamma=90.00
Closest atoms and distances in Å follow each position.
Space group Cmcm (No. 63)
One atom of each set of equivalent atoms:
La1 0.0000 0.1864 0.2500 (multiplicity 4)  3 Dy 3.25-3.29
Dy1 0.0000 0.1441 0.6805 (multiplicity 8)  4 Y 3.55-3.64, 7 Dy 3.59-3.89, 3 La 3.68-3.76
Dy2 0.0000 0.1875 0.1008 (multiplicity 8)  7 Y 3.32-3.69
Dy3 0.0000 0.4790 0.7500 (multiplicity 4)  3 La 3.25-3.29, 2 Y 3.31
Dy4 0.0000 0.5000 0.0000 (multiplicity 4)  8 Y 3.15-3.49
Y1 0.0000 0.1581 0.5419 (multiplicity 8)  8 Dy 3.43-3.69, 2 Y 3.70-3.75
Y2 0.0000 0.4742 0.6217 (multiplicity 8)  5 Dy 3.15-3.33

Computed properties:
Total moment   0.000 μB per atom

=====

Most stable: #two (next structure +325 meV per atom)

=====

#one
Density functional theory data (PBE) for a relaxed La8Dy2Y3 crystal.

Unit cell a=20.6421 b=7.7567 c=5.8508 alpha=90.00 beta=90.02 gamma=90.00
Closest atoms and distances in Å follow each position.
Space group C2/m (No. 12)
One atom of each set of equivalent atoms:
La1 0.1057 0.1998 0.0001 (multiplicity 8)  1 La 3.10, 1 Y 3.19
La2 0.1323 0.5000 0.4995 (multiplicity 4)  2 Y 3.50, 2 Dy 3.67-3.68, 4 La 3.78
La3 0.1751 0.0000 0.5008 (multiplicity 4)  2 Dy 3.41, 4 La 3.60-3.61
Dy1 0.2401 0.5000 0.9990 (multiplicity 4)  8 La 3.41-3.68
Y1 0.0000 0.2178 0.5000 (multiplicity 4)  3 Y 3.38-3.65, 6 La 3.50-3.65
Y2 0.0000 0.5000 0.0000 (multiplicity 2)  4 La 3.19

Computed properties:
Total moment   0.000 μB per atom

=====

#two
Density functional theory data (PBE) for a relaxed La8Dy2Y3 crystal.

Unit cell a=13.3879 b=11.9769 c=6.1657 alpha=90.00 beta=111.46 gamma=90.00
Closest atoms and distances in Å follow each position.
Space group C2/m (No. 12)
One atom of each set of equivalent atoms:
La1 0.0563 0.0000 0.2850 (multiplicity 4)  2 Dy 3.26-3.29, 4 La 3.28-3.59, 2 Y 3.42
La2 0.1457 0.5000 0.5795 (multiplicity 4)  1 Dy 3.38, 4 Y 3.39-3.77, 2 La 3.66-3.77
La3 0.1659 0.2530 0.1536 (multiplicity 8)  2 La 3.43-3.59, 2 Dy 3.44-3.71, 3 Y 3.60-3.83
Dy1 0.2027 0.0000 0.8449 (multiplicity 4)  5 La 3.26-3.44
Y1 0.0000 0.2458 0.5000 (multiplicity 4)  8 La 3.42-3.83
Y2 0.0000 0.5000 0.0000 (multiplicity 2)  8 La 3.39-3.77, 2 Dy 3.74

Computed properties:
Total moment   0.000 μB per atom

=====

Most stable: #two (next structure +26 meV per atom)

=====

#one
Density functional theory data (PBE) for a relaxed La5Dy4Y2 crystal.

Unit cell a=3.5491 b=9.2323 c=23.9825 alpha=90.00 beta=90.00 gamma=90.00
Closest atoms and distances in Å follow each position.
Space group Immm (No. 71)
One atom of each set of equivalent atoms:
La1 0.0000 0.0000 0.0000 (multiplicity 2)  4 Dy 3.41, 2 La 3.55
La2 0.0000 0.3022 0.3545 (multiplicity 8)  3 Y 3.49-3.88, 3 Dy 3.51-3.66, 3 La 3.55-3.65
Dy1 0.0000 0.1844 0.5000 (multiplicity 4)  7 Dy 3.38-3.55, 4 La 3.41-3.66
Dy2 0.0000 0.5000 0.0965 (multiplicity 4)  1 Y 3.21, 6 Dy 3.38-3.55, 4 La 3.51
Y1 0.0000 0.5000 0.2304 (multiplicity 4)  1 Dy 3.21, 2 La 3.49, 2 Y 3.55

Computed properties:
Total moment   0.000 μB per atom

=====

#two
Density functional theory data (PBE) for a relaxed La5Dy4Y2 crystal.

Unit cell a=18.2558 b=3.6164 c=11.9532 alpha=90.00 beta=102.04 gamma=90.00
Closest atoms and distances in Å follow each position.
Space group C2/m (No. 12)
One atom of each set of equivalent atoms:
La1 0.0000 0.0000 0.0000 (multiplicity 2)  6 La 3.51-3.62, 2 Y 3.64, 4 Dy 3.80
La2 0.1480 0.5000 0.5110 (multiplicity 4)  4 Dy 3.46-3.86, 2 Y 3.57, 2 La 3.62
La3 0.1652 0.5000 0.0017 (multiplicity 4)  4 Dy 3.45-3.78, 6 La 3.51-3.62, 2 Y 3.58
Dy1 0.0181 0.5000 0.7276 (multiplicity 4)  4 Dy 3.54-3.62, 2 Y 3.60, 5 La 3.70-3.86
Dy2 0.1882 0.0000 0.7635 (multiplicity 4)  5 La 3.45-3.47, 2 Y 3.51, 4 Dy 3.54-3.62
Y1 0.1498 0.0000 0.2544 (multiplicity 4)  4 Dy 3.51-3.60, 5 La 3.57-3.64, 2 Y 3.62

Computed properties:
Total moment   0.000 μB per atom

=====

Most stable: #two (next structure +56 meV per atom)

=====

#one
Density functional theory data (PBE) for a relaxed La8Dy2Y crystal.

Unit cell a=18.7308 b=5.2308 c=8.2416 alpha=90.00 beta=105.20 gamma=90.00
Closest atoms and distances in Å follow each position.
Space group C2/m (No. 12)
One atom of each set of equivalent atoms:
La1 0.0472 0.0000 0.2264 (multiplicity 4)  1 Dy 3.63, 9 La 3.68-3.72, 2 Y 3.71
La2 0.0919 0.5000 0.9546 (multiplicity 4)  3 Dy 3.66-3.67, 8 La 3.67-3.72, 1 Y 3.69
La3 0.1378 0.0000 0.6861 (multiplicity 4)  3 Dy 3.63-3.67, 7 La 3.67-3.72, 2 Y 3.71
La4 0.1819 0.5000 0.4119 (multiplicity 4)  1 Y 3.67, 8 La 3.67-3.70, 3 Dy 3.68-3.71
Dy1 0.2267 0.0000 0.1345 (multiplicity 4)  10 La 3.63-3.71, 2 Dy 3.68
Y1 0.0000 0.5000 0.5000 (multiplicity 2)  12 La 3.67-3.71

Computed properties:
Total moment   0.000 μB per atom

=====

#two
Density functional theory data (PBE) for a relaxed La8Dy2Y crystal.

Unit cell a=9.2946 b=16.8682 c=6.0926 alpha=90.00 beta=124.37 gamma=90.00
Closest atoms and distances in Å follow each position.
Space group C2/m (No. 12)
One atom of each set of equivalent atoms:
La1 0.0000 0.2064 0.0000 (multiplicity 4)  1 Y 3.48, 4 Dy 3.53-3.87, 6 La 3.69-3.76
La2 0.0781 0.5000 0.7990 (multiplicity 4)  3 La 3.07-3.29, 1 Y 3.38
La3 0.2151 0.1195 0.6852 (multiplicity 8)  3 La 3.29-3.65, 2 Dy 3.61-3.64
Dy1 0.0000 0.3117 0.5000 (multiplicity 4)  10 La 3.53-3.87
Y1 0.0000 0.0000 0.0000 (multiplicity 2)  4 La 3.38-3.48

Computed properties:
Total moment   0.000 μB per atom

=====

Most stable: #one (next structure +103 meV per atom)

=====

#one
Density functional theory data (PBE) for a relaxed La3DyY2 crystal.

Unit cell a=8.6555 b=3.7518 c=12.9088 alpha=90.00 beta=90.19 gamma=90.00
Closest atoms and distances in Å follow each position.
Space group P2_1/m (No. 11)
One atom of each set of equivalent atoms:
La1 0.0841 0.2500 0.1130 (multiplicity 2)  2 Dy 3.51, 4 Y 3.60-3.86, 6 La 3.67-3.76
La2 0.3439 0.7500 0.5557 (multiplicity 2)  2 Dy 3.43, 4 La 3.59-3.75, 3 Y 3.66-3.70
La3 0.3912 0.7500 0.2453 (multiplicity 2)  1 Dy 3.58, 6 La 3.67-3.92, 5 Y 3.79-3.89
Dy1 0.1946 0.2500 0.7541 (multiplicity 2)  5 La 3.43-3.58, 4 Y 3.46-3.53, 2 Dy 3.75
Y1 0.0757 0.2500 0.3915 (multiplicity 2)  2 Dy 3.53, 6 La 3.60-3.82, 4 Y 3.62-3.75
Y2 0.3510 0.7500 0.9532 (multiplicity 2)  4 Y 3.41-3.75, 2 Dy 3.46, 3 La 3.62-3.79

Computed properties:
Total moment   0.000 μB per atom

=====

#two
Density functional theory data (PBE) for a relaxed La3DyY2 crystal.

Unit cell a=3.6757 b=6.2415 c=18.2673 alpha=81.21 beta=84.53 gamma=89.44
Closest atoms and distances in Å follow each position.
Space group P-1 (No. 2)
One atom of each set of equivalent atoms:
La1 0.0852 0.4135 0.3379 (multiplicity 2)  3 Dy 3.57-3.61, 6 Y 3.60-3.66, 3 La 3.68-3.74
La2 0.1660 0.8359 0.1686 (multiplicity 2)  6 Y 3.60-3.68, 6 La 3.67-3.74
La3 0.2459 0.2476 0.0014 (multiplicity 2)  9 La 3.60-3.71, 3 Y 3.68-3.73
Dy1 0.0000 0.0000 0.5000 (multiplicity 1)  4 Y 3.57-3.59, 6 Dy 3.61-3.68, 2 La 3.61
Dy2 0.5000 0.5000 0.5000 (multiplicity 1)  4 La 3.57-3.60, 6 Dy 3.61-3.68, 2 Y 3.61
Y1 0.3325 0.6629 0.8303 (multiplicity 2)  9 La 3.60-3.73, 3 Y 3.68-3.72
Y2 0.4166 0.0852 0.6621 (multiplicity 2)  3 Dy 3.57-3.61, 6 La 3.60-3.68, 3 Y 3.68-3.72

Computed properties:
Total moment   0.000 μB per atom

=====

Most stable: #two (next structure +25 meV per atom)

=====

#one
Density functional theory data (PBE) for a relaxed La4Dy5Y2 crystal.

Unit cell a=17.8134 b=3.5653 c=11.7411 alpha=90.00 beta=94.22 gamma=90.00
Closest atoms and distances in Å follow each position.
Space group C2/m (No. 12)
One atom of each set of equivalent atoms:
La1 0.0365 0.0000 0.2618 (multiplicity 4)  5 Dy 3.35-3.57, 4 La 3.57-3.64, 2 Y 3.75
La2 0.1404 0.5000 0.7963 (multiplicity 4)  6 Dy 3.48-3.70, 4 La 3.57-3.64, 2 Y 3.70
Dy1 0.0000 0.5000 0.0000 (multiplicity 2)  6 Dy 3.57-3.68, 6 La 3.57-3.59
Dy2 0.0976 0.0000 0.5389 (multiplicity 4)  4 La 3.35-3.54, 3 Y 3.47-3.58, 3 Dy 3.53-3.57
Dy3 0.1783 0.0000 0.0707 (multiplicity 4)  4 La 3.48-3.70, 6 Dy 3.57-3.68, 2 Y 3.82
Y1 0.2152 0.5000 0.3569 (multiplicity 4)  5 Dy 3.47-3.82, 2 Y 3.57, 4 La 3.70-3.75

Computed properties:
Total moment   0.000 μB per atom

=====

#two
Density functional theory data (PBE) for a relaxed La4Dy5Y2 crystal.

Unit cell a=3.4794 b=5.6401 c=37.9154 alpha=90.00 beta=90.00 gamma=90.00
Closest atoms and distances in Å follow each position.
Space group Immm (No. 71)
One atom of each set of equivalent atoms:
La1 0.0000 0.0000 0.0442 (multiplicity 4)  7 Dy 3.33-3.71, 3 La 3.35-3.48
La2 0.0000 0.0000 0.3214 (multiplicity 4)  2 La 3.48, 5 Y 3.56-3.80, 6 Dy 3.66-3.75
Dy1 0.0000 0.0000 0.1375 (multiplicity 4)  4 Dy 3.33-3.48, 1 Y 3.42, 5 La 3.53-3.66
Dy2 0.0000 0.0000 0.5000 (multiplicity 2)  6 Dy 3.48-3.86, 8 La 3.71
Dy3 0.0000 0.5000 0.0908 (multiplicity 4)  2 La 3.33, 4 Dy 3.33-3.48
Y1 0.0000 0.0000 0.2276 (multiplicity 4)  1 Dy 3.42, 6 Y 3.48-3.72, 5 La 3.56-3.80

Computed properties:
Total moment   0.000 μB per atom

=====

Most stable: #one (next structure +61 meV per atom)

=====

#one
Density functional theory data (PBE) for a relaxed La3Dy3Y crystal.

Unit cell a=9.7791 b=9.7791 c=5.8244 alpha=90.00 beta=90.00 gamma=120.00
Closest atoms and distances in Å follow each position.
Space group P6_3/m (No. 176)
One atom of each set of equivalent atoms:
La1 0.0957 0.4720 0.2500 (multiplicity 6)  5 Dy 3.61-3.77, 3 Y 3.62-3.71, 4 La 3.65-3.71
Dy1 0.0445 0.2320 0.7500 (multiplicity 6)  6 Dy 3.58-3.61, 5 La 3.61-3.77, 1 Y 3.75
Y1 0.3333 0.6667 0.7500 (multiplicity 2)  9 La 3.62-3.71, 3 Dy 3.75

Computed properties:
Total moment   0.000 μB per atom

=====

#two
Density functional theory data (PBE) for a relaxed La3Dy3Y crystal.

Unit cell a=9.4853 b=9.4853 c=18.7935 alpha=90.00 beta=90.00 gamma=120.00
Closest atoms and distances in Å follow each position.
Space group R-3 (No. 148, hexagonal axes)
One atom of each set of equivalent atoms:
La1 0.0488 0.2423 0.0776 (multiplicity 18)  5 Dy 3.44-3.63, 1 Y 3.55, 4 La 3.60-3.65
Dy1 0.0506 0.2356 0.2604 (multiplicity 18)  3 Dy 3.42-3.53, 5 La 3.44-3.63, 2 Y 3.45-3.60
Y1 0.0000 0.0000 0.4087 (multiplicity 6)  1 Y 3.43, 6 Dy 3.45-3.60, 3 La 3.55

Computed properties:
Total moment   0.000 μB per atom

=====

Most stable: #one (next structure +96 meV per atom)